# 1
A relaxed structure of SmEuZnCo. Source: Alexandria, functional PBE.

a = 7.1133 Å, b = 7.1133 Å, c = 7.1133 Å
α = 90.00°, β = 90.00°, γ = 90.00°
With the nearest neighbours (Å) after each atom.
Space group F-43m (No. 216)
Inequivalent atoms, fractional coordinates:
Sm 0.0000 0.0000 0.0000 (multiplicity 4)  4 Co 3.08, 4 Zn 3.08
Eu 0.0000 0.0000 0.5000 (multiplicity 4)  4 Co 3.08, 4 Zn 3.08
Zn 0.2500 0.2500 0.2500 (multiplicity 4)  4 Sm 3.08, 4 Eu 3.08
Co 0.2500 0.2500 0.7500 (multiplicity 4)  4 Sm 3.08, 4 Eu 3.08

Computed properties:
For the calculated volume, the calculation gives 22.50 Å³ per atom. As for the energy: -5.875 eV per atom. Its magnetic moment is 6.28 μB/f.u.



# 2
A relaxed structure of SrEu3Co. Source: Alexandria, functional PBE.

a = 5.6790 Å, b = 5.6790 Å, c = 5.6790 Å
α = 90.00°, β = 90.00°, γ = 90.00°
With the nearest neighbours (Å) after each atom.
Space group Pm-3m (No. 221)
Inequivalent atoms, fractional coordinates:
Sr 0.0000 0.0000 0.0000 (multiplicity 1)  12 Eu 4.02
Eu 0.0000 0.5000 0.5000 (multiplicity 3)  2 Co 2.84
Co 0.5000 0.5000 0.5000 (multiplicity 1)  6 Eu 2.84

Computed properties:
For the calculated volume, the calculation gives 36.63 Å³ per atom. As for the energy: -7.854 eV per atom. Its magnetic moment is 21.24 μB/f.u.



# 3
A relaxed structure of EuTaCo2. Source: Alexandria, functional PBE.

a = 3.1174 Å, b = 3.1174 Å, c = 7.0777 Å
α = 90.00°, β = 90.00°, γ = 90.00°
With the nearest neighbours (Å) after each atom.
Space group P4/mmm (No. 123)
Inequivalent atoms, fractional coordinates:
Eu 0.0000 0.0000 0.0000 (multiplicity 1)  8 Co 3.11, 4 Eu 3.12
Ta 0.0000 0.0000 0.5000 (multiplicity 1)  8 Co 2.58
Co 0.5000 0.5000 0.3106 (multiplicity 2)  4 Ta 2.58, 1 Co 2.68

Computed properties:
For the calculated volume, the calculation gives 17.20 Å³ per atom. As for the energy: -9.075 eV per atom. Its magnetic moment is 6.19 μB/f.u.



# 4
A relaxed structure of TbEuCo4. Source: Alexandria, functional PBE.

a = 7.2483 Å, b = 7.2483 Å, c = 7.2483 Å
α = 90.00°, β = 90.00°, γ = 90.00°
With the nearest neighbours (Å) after each atom.
Space group F-43m (No. 216)
Inequivalent atoms, fractional coordinates:
Tb 0.0000 0.0000 0.0000 (multiplicity 4)  12 Co 3.00, 4 Eu 3.14
Eu 0.2500 0.2500 0.2500 (multiplicity 4)  12 Co 3.01, 4 Tb 3.14
Co 0.1254 0.1254 0.6254 (multiplicity 16)  6 Co 2.55-2.57

Computed properties:
For the calculated volume, the calculation gives 15.87 Å³ per atom. As for the energy: -7.271 eV per atom. Its magnetic moment is 2.26 μB/f.u.



# 5
A relaxed structure of TbEuCo. Source: Alexandria, functional PBE.

a = 3.4427 Å, b = 3.4427 Å, c = 12.9355 Å
α = 90.00°, β = 90.00°, γ = 90.00°
With the nearest neighbours (Å) after each atom.
Space group I4mm (No. 107)
Inequivalent atoms, fractional coordinates:
Tb 0.0000 0.0000 0.0000 (multiplicity 2)  4 Co 2.83
Eu 0.0000 0.0000 0.7446 (multiplicity 2)  4 Co 3.06, 1 Tb 3.30
Co 0.0000 0.0000 0.3878 (multiplicity 2)  4 Tb 2.83, 4 Eu 3.06

Computed properties:
For the calculated volume, the calculation gives 25.55 Å³ per atom. As for the energy: -7.314 eV per atom. Its magnetic moment is 6.65 μB/f.u.



# 6
A relaxed structure of Tb3EuCo. Source: Alexandria, functional PBE.

a = 5.3630 Å, b = 5.3630 Å, c = 5.3630 Å
α = 90.00°, β = 90.00°, γ = 90.00°
With the nearest neighbours (Å) after each atom.
Space group Pm-3m (No. 221)
Inequivalent atoms, fractional coordinates:
Tb 0.0000 0.0000 0.5000 (multiplicity 3)  2 Co 2.68
Eu 0.5000 0.5000 0.5000 (multiplicity 1)  12 Tb 3.79
Co 0.0000 0.0000 0.0000 (multiplicity 1)  6 Tb 2.68

Computed properties:
For the calculated volume, the calculation gives 30.85 Å³ per atom. As for the energy: -6.297 eV per atom. Its magnetic moment is 7.56 μB/f.u.



# 7
A relaxed structure of TbEuZnCo. Source: Alexandria, functional PBE.

a = 7.0461 Å, b = 7.0461 Å, c = 7.0461 Å
α = 90.00°, β = 90.00°, γ = 90.00°
With the nearest neighbours (Å) after each atom.
Space group F-43m (No. 216)
Inequivalent atoms, fractional coordinates:
Tb 0.0000 0.0000 0.0000 (multiplicity 4)  4 Co 3.05, 4 Zn 3.05
Eu 0.0000 0.0000 0.5000 (multiplicity 4)  4 Co 3.05, 4 Zn 3.05
Zn 0.2500 0.2500 0.2500 (multiplicity 4)  4 Tb 3.05, 4 Eu 3.05
Co 0.2500 0.2500 0.7500 (multiplicity 4)  4 Tb 3.05, 4 Eu 3.05

Computed properties:
For the calculated volume, the calculation gives 21.86 Å³ per atom. As for the energy: -5.868 eV per atom. Its magnetic moment is 6.27 μB/f.u.



# 8
A relaxed structure of Eu2CoTe. Source: Alexandria, functional PBE.

a = 3.8620 Å, b = 3.8620 Å, c = 7.2036 Å
α = 90.00°, β = 90.00°, γ = 90.00°
With the nearest neighbours (Å) after each atom.
Space group P4/mmm (No. 123)
Inequivalent atoms, fractional coordinates:
Eu 0.0000 0.0000 0.2358 (multiplicity 2)  4 Co 3.22, 4 Te 3.33, 1 Eu 3.40
Co 0.5000 0.5000 0.0000 (multiplicity 1)  8 Eu 3.22, 2 Te 3.60
Te 0.5000 0.5000 0.5000 (multiplicity 1)  8 Eu 3.33, 2 Co 3.60

Computed properties:
The distance to the lowest polymorph of the same formula is 53 meV/atom. For the calculated volume, the calculation gives 26.86 Å³ per atom. The value obtained for the raw formation energy is -0.392 eV per atom. Its magnetic moment is 15.01 μB/f.u.